No. 1
First-principles (PBE) data for Te3OsPb after structural relaxation, as listed in the Alexandria database.

The structure in POSCAR format:
```
Te3OsPb
1.0
-1.9324 -0.6824 4.8842
-0.2369 -5.2268 -0.8240
4.9259 -0.5190 1.8764
Te Os Pb
3 1 1
direct
0.0000 0.5000 0.0000
0.0000 0.0000 0.5000
0.5000 0.0000 0.0000
0.0000 0.0000 0.0000
0.5000 0.5000 0.5000
```

Output
electronic total energy	-4.36	eV/atom
crystal system	cubic

No. 2
First-principles (PBE) data for CsTeIr2Se after structural relaxation, as listed in the Alexandria database.

The structure in POSCAR format:
```
CsTeIr2Se
1.0
5.0682 0.0000 0.0000
0.0000 5.7488 0.0000
0.0000 0.0000 5.0682
Ir Te Se Cs
2 1 1 1
direct
0.5000 0.0000 0.0000
0.0000 0.0000 0.5000
0.5000 0.5000 0.5000
0.0000 0.5000 0.0000
0.0000 0.0000 0.0000
```

Output
electronic total energy	-2.53	eV/atom
crystal system	tetragonal

no.,formation energy without anion corrections (eV/f.u.)
1,2.58
2,12.56